NpSnGe after structural relaxation, computed with PBE.

The structure belongs to space group P-6m2 (No. 187); the cell edges are 5.0766, 5.0766 and 3.0768 Å and the angles 90.00°, 90.00° and 120.00°. The inequivalent atoms are Np at (0.0000, 0.0000, 0.0000), Sn at (0.3333, 0.6667, 0.5000) and Ge at (0.6667, 0.3333, 0.5000).

The formation energy comes out at 0.0735 eV per atom. Its energy above the most stable polymorph in this dataset is 201 meV per atom.

CdBi2Pd8 after structural relaxation, computed with PBE.

The structure belongs to space group Immm (No. 71); the cell edges are 4.101, 7.965 and 12.218 Å and the angles 90.00°, 90.00° and 90.00°. The inequivalent atoms are Cd at (0.000, 0.000, 0.000), Bi at (0.000, 0.000, 0.339), Pd at (0.000, 0.249, 0.500), Pd at (0.000, 0.253, 0.164) and Pd at (0.000, 0.500, 0.335).

The formation energy comes out at -0.2586 eV per atom. Its energy above the most stable polymorph in this dataset is 0 meV per atom.

RbMn3Si after structural relaxation, computed with PBE.

The structure belongs to space group Pm-3m (No. 221); the cell edges are 4.921, 4.921 and 4.921 Å and the angles 90.00°, 90.00° and 90.00°. The inequivalent atoms are Rb at (0.000, 0.000, 0.000), Mn at (0.000, 0.000, 0.500) and Si at (0.500, 0.500, 0.500).

The formation energy from raw total energies comes out at 2496 meV per atom.

ReSb4Se after structural relaxation, computed with PBE.

The structure belongs to space group F-43m (No. 216); the cell edges are 8.624, 8.624 and 8.624 Å and the angles 90.00°, 90.00° and 90.00°. The inequivalent atoms are Re at (0.000, 0.000, 0.000), Sb at (0.125, 0.125, 0.625) and Se at (0.250, 0.250, 0.250).

The formation energy from raw total energies comes out at 1192 meV per atom.